1.
Compound: Mg6Cd3Ni
Source: Alexandria
Functional: PBE
Structure: relaxed

Cell lengths 7.5185, 5.8837, 5.8837 Å; angles 59.43, 73.54, 73.54 degrees
Fractional coordinates of all 10 atoms:
Mg  0.3222  0.1222  0.6080
Mg  0.6778  0.3920  0.8778
Mg  0.6778  0.8778  0.3920
Mg  0.3222  0.6080  0.1222
Mg  0.1187  0.6593  0.6593
Mg  0.8813  0.3407  0.3407
Cd  0.3143  0.1198  0.1198
Cd  0.6857  0.8802  0.8802
Cd  0.0000  0.0000  0.0000
Ni  0.5000  0.5000  0.5000

Values from the calculation:
M_tot   0.00 μB per formula unit
E above lowest polymorph   94 meV per atom
Crystal system   monoclinic
ΔH_f (0 K)   0.1 eV per formula unit

***

2.
Compound: Mg14CdNi
Source: Alexandria
Functional: PBE
Structure: relaxed

Cell lengths 6.2138, 6.2138, 10.1691 Å; angles 90.00, 90.00, 120.00 degrees
Fractional coordinates of all 16 atoms:
Mg  0.9950  0.4975  0.0000
Mg  0.0021  0.5011  0.5000
Mg  0.5025  0.0050  0.0000
Mg  0.4989  0.9979  0.5000
Mg  0.5025  0.4975  0.0000
Mg  0.4989  0.5011  0.5000
Mg  0.1618  0.8382  0.2368
Mg  0.1618  0.8382  0.7632
Mg  0.1618  0.3236  0.2368
Mg  0.1618  0.3236  0.7632
Mg  0.6764  0.8382  0.2368
Mg  0.6764  0.8382  0.7632
Mg  0.6667  0.3333  0.2522
Mg  0.6667  0.3333  0.7478
Cd  0.0000  0.0000  0.5000
Ni  0.0000  0.0000  0.0000

Values from the calculation:
M_tot   0.00 μB per formula unit
E above lowest polymorph   0 meV per atom
Crystal system   hexagonal
ΔH_f (0 K)   -0.2 eV per formula unit

***

3.
Compound: Mg11Cd9Ni4
Source: Alexandria
Functional: PBE
Structure: relaxed

Cell lengths 3.3148, 12.2944, 12.2944 Å; angles 112.77, 90.00, 90.00 degrees
Fractional coordinates of all 24 atoms:
Mg  0.0000  0.5816  0.9194
Mg  0.0000  0.4184  0.0806
Mg  0.0000  0.9194  0.5816
Mg  0.0000  0.0806  0.4184
Mg  0.0000  0.6279  0.3721
Mg  0.0000  0.3721  0.6279
Mg  0.0000  0.8421  0.1579
Mg  0.0000  0.1579  0.8421
Mg  0.0000  0.0000  0.0000
Mg  0.0000  0.6885  0.6885
Mg  0.0000  0.3115  0.3115
Cd  0.5000  0.6297  0.1527
Cd  0.5000  0.3703  0.8473
Cd  0.5000  0.1527  0.6297
Cd  0.5000  0.8473  0.3703
Cd  0.5000  0.7772  0.9237
Cd  0.5000  0.2228  0.0763
Cd  0.5000  0.9237  0.7772
Cd  0.5000  0.0763  0.2228
Cd  0.5000  0.5000  0.5000
Ni  0.5000  0.5476  0.7429
Ni  0.5000  0.4524  0.2571
Ni  0.5000  0.7429  0.5476
Ni  0.5000  0.2571  0.4524

Values from the calculation:
M_tot   0.00 μB per formula unit
Crystal system   orthorhombic
ΔH_f (0 K)   -2.9 eV per formula unit

***

4.
Compound: MgCd4Ni
Source: Alexandria
Functional: PBE
Structure: relaxed

Cell lengths 5.5985, 5.5985, 5.5985 Å; angles 60.00, 60.00, 60.00 degrees
Fractional coordinates of all 6 atoms:
Mg  0.7500  0.7500  0.7500
Cd  0.8762  0.3746  0.3746
Cd  0.3746  0.3746  0.8762
Cd  0.3746  0.8762  0.3746
Cd  0.3746  0.3746  0.3746
Ni  0.0000  0.0000  0.0000

Values from the calculation:
M_tot   0.00 μB per formula unit
E above lowest polymorph   239 meV per atom
Crystal system   cubic
ΔH_f (0 K)   1.4 eV per formula unit

***

5.
Compound: Mg6Cd3Ni
Source: Alexandria
Functional: PBE
Structure: relaxed

Cell lengths 4.6737, 8.7506, 10.0474 Å; angles 101.26, 90.00, 90.00 degrees
Fractional coordinates of all 20 atoms:
Mg  0.2500  0.4473  0.0917
Mg  0.7500  0.5527  0.9083
Mg  0.2500  0.1345  0.1910
Mg  0.7500  0.8655  0.8090
Mg  0.2500  0.6781  0.6895
Mg  0.7500  0.3219  0.3105
Mg  0.2500  0.2020  0.4900
Mg  0.7500  0.7980  0.5100
Mg  0.2500  0.8708  0.3374
Mg  0.7500  0.1292  0.6626
Mg  0.2500  0.0657  0.8746
Mg  0.7500  0.9343  0.1254
Cd  0.2500  0.5387  0.3984
Cd  0.7500  0.4613  0.6016
Cd  0.2500  0.3610  0.7803
Cd  0.7500  0.6390  0.2197
Cd  0.2500  0.7664  0.9987
Cd  0.7500  0.2336  0.0013
Ni  0.2500  0.9512  0.6156
Ni  0.7500  0.0488  0.3844

Values from the calculation:
M_tot   0.00 μB per formula unit
E above lowest polymorph   0 meV per atom
Crystal system   monoclinic
ΔH_f (0 K)   -0.9 eV per formula unit

***

6.
Compound: Mg12Cd6Ni
Source: Alexandria
Functional: PBE
Structure: relaxed

Cell lengths 7.6427, 7.6427, 7.6427 Å; angles 101.79, 101.79, 101.79 degrees
Fractional coordinates of all 19 atoms:
Mg  0.3288  0.0712  0.3291
Mg  0.0712  0.3291  0.3288
Mg  0.3291  0.3288  0.0712
Mg  0.6712  0.9288  0.6709
Mg  0.9288  0.6709  0.6712
Mg  0.6709  0.6712  0.9288
Mg  0.0929  0.0926  0.6878
Mg  0.3122  0.9071  0.9074
Mg  0.9074  0.3122  0.9071
Mg  0.9071  0.9074  0.3122
Mg  0.6878  0.0929  0.0926
Mg  0.0926  0.6878  0.0929
Cd  0.2464  0.4998  0.7536
Cd  0.5002  0.2464  0.7536
Cd  0.2464  0.7536  0.5002
Cd  0.7536  0.5002  0.2464
Cd  0.4998  0.7536  0.2464
Cd  0.7536  0.2464  0.4998
Ni  0.0000  0.0000  0.0000

Values from the calculation:
M_tot   0.00 μB per formula unit
Crystal system   trigonal
ΔH_f (0 K)   -0.9 eV per formula unit

***

7.
Compound: Mg5Cd4Ni
Source: Alexandria
Functional: PBE
Structure: relaxed

Cell lengths 3.1544, 3.1544, 20.2456 Å; angles 90.00, 90.00, 90.00 degrees
Fractional coordinates of all 10 atoms:
Mg  0.5000  0.5000  0.0731
Mg  0.5000  0.5000  0.2860
Mg  0.5000  0.5000  0.5000
Mg  0.5000  0.5000  0.7140
Mg  0.5000  0.5000  0.9269
Cd  0.0000  0.0000  0.1804
Cd  0.0000  0.0000  0.3927
Cd  0.0000  0.0000  0.6073
Cd  0.0000  0.0000  0.8196
Ni  0.0000  0.0000  0.0000

Values from the calculation:
M_tot   0.00 μB per formula unit
Crystal system   tetragonal
ΔH_f (0 K)   -1.1 eV per formula unit

***

8.
Compound: Mg8CdNi2
Source: Alexandria
Functional: PBE
Structure: relaxed

Cell lengths 4.7040, 6.5354, 7.9757 Å; angles 113.06, 105.73, 92.62 degrees
Fractional coordinates of all 11 atoms:
Mg  0.6671  0.2473  0.9072
Mg  0.9524  0.0274  0.5674
Mg  0.2977  0.3673  0.2492
Mg  0.7509  0.9624  0.1440
Mg  0.3244  0.8528  0.3202
Mg  0.9171  0.4484  0.4991
Mg  0.2105  0.5183  0.9101
Mg  0.5225  0.7241  0.6813
Cd  0.1422  0.9523  0.9093
Ni  0.7722  0.6147  0.2343
Ni  0.4432  0.2850  0.5780

Values from the calculation:
M_tot   0.00 μB per formula unit
E above lowest polymorph   17 meV per atom
Crystal system   triclinic
ΔH_f (0 K)   -0.5 eV per formula unit

***

9.
Compound: Mg4Cd4Ni
Source: Alexandria
Functional: PBE
Structure: relaxed

Cell lengths 3.6616, 7.2413, 7.2413 Å; angles 86.33, 75.35, 75.35 degrees
Fractional coordinates of all 9 atoms:
Mg  0.1494  0.1982  0.0030
Mg  0.8506  0.8018  0.9970
Mg  0.8476  0.5030  0.3018
Mg  0.1524  0.4970  0.6982
Cd  0.4965  0.1757  0.3313
Cd  0.5035  0.8243  0.6687
Cd  0.1722  0.8313  0.3243
Cd  0.8278  0.1687  0.6757
Ni  0.5000  0.5000  0.0000

Values from the calculation:
M_tot   0.00 μB per formula unit
Crystal system   tetragonal
ΔH_f (0 K)   -0.6 eV per formula unit

***

10.
Compound: Mg14CdNi
Source: Alexandria
Functional: PBE
Structure: relaxed

Cell lengths 6.2109, 6.2109, 10.1799 Å; angles 90.00, 90.00, 119.51 degrees
Fractional coordinates of all 16 atoms:
Mg  0.8340  0.1660  0.0000
Mg  0.3353  0.6647  0.0000
Mg  0.3463  0.1549  0.5000
Mg  0.3335  0.1707  0.0000
Mg  0.8451  0.6537  0.5000
Mg  0.8293  0.6665  0.0000
Mg  0.1533  0.3291  0.2708
Mg  0.1533  0.3291  0.7292
Mg  0.6709  0.8467  0.2708
Mg  0.6709  0.8467  0.7292
Mg  0.6684  0.3316  0.2583
Mg  0.6684  0.3316  0.7417
Mg  0.1659  0.8341  0.2466
Mg  0.1659  0.8341  0.7534
Cd  0.3354  0.6646  0.5000
Ni  0.8240  0.1760  0.5000

Values from the calculation:
M_tot   0.00 μB per formula unit
E above lowest polymorph   4 meV per atom
Crystal system   orthorhombic
ΔH_f (0 K)   -0.2 eV per formula unit

***

11.
Compound: Mg8CdNi2
Source: Alexandria
Functional: PBE
Structure: relaxed

Cell lengths 4.9690, 7.0674, 7.0674 Å; angles 111.76, 97.56, 97.56 degrees
Fractional coordinates of all 11 atoms:
Mg  0.9174  0.9376  0.6721
Mg  0.9174  0.6721  0.9376
Mg  0.2977  0.6118  0.6118
Mg  0.5000  0.7464  0.2536
Mg  0.5000  0.2536  0.7464
Mg  0.7023  0.3882  0.3882
Mg  0.0826  0.3279  0.0624
Mg  0.0826  0.0624  0.3279
Cd  0.5000  0.0000  0.0000
Ni  0.0000  0.3167  0.6833
Ni  0.0000  0.6833  0.3167

Values from the calculation:
M_tot   0.00 μB per formula unit
E above lowest polymorph   0 meV per atom
Crystal system   monoclinic
ΔH_f (0 K)   -0.7 eV per formula unit

***

12.
Compound: MgCd3Ni
Source: Alexandria
Functional: PBE
Structure: relaxed

Cell lengths 6.5542, 6.5542, 6.6210 Å; angles 105.48, 117.46, 105.34 degrees
Fractional coordinates of all 10 atoms:
Mg  0.7079  0.0594  0.7673
Mg  0.2921  0.9406  0.2327
Cd  0.8597  0.0838  0.3116
Cd  0.2279  0.4519  0.3116
Cd  0.7721  0.5481  0.6884
Cd  0.7012  0.4281  0.1293
Cd  0.1403  0.9162  0.6884
Cd  0.2988  0.5719  0.8707
Ni  0.6224  0.7513  0.3737
Ni  0.3776  0.2487  0.6263

Values from the calculation:
M_tot   0.00 μB per formula unit
E above lowest polymorph   0 meV per atom
Crystal system   monoclinic
ΔH_f (0 K)   0.1 eV per formula unit

***

13.
Compound: Mg5CdNi
Source: Alexandria
Functional: PBE
Structure: relaxed

Cell lengths 7.0743, 7.0743, 9.5684 Å; angles 63.16, 63.16, 64.57 degrees
Fractional coordinates of all 14 atoms:
Mg  0.7771  0.7406  0.1571
Mg  0.2858  0.6479  0.4631
Mg  0.7406  0.7771  0.6571
Mg  0.0050  0.9950  0.2500
Mg  0.3521  0.7142  0.0369
Mg  0.6479  0.2858  0.9631
Mg  0.9950  0.0050  0.7500
Mg  0.2594  0.2229  0.3429
Mg  0.7142  0.3521  0.5369
Mg  0.2229  0.2594  0.8429
Cd  0.6278  0.3722  0.2500
Cd  0.3722  0.6278  0.7500
Ni  0.0000  0.0000  0.0000
Ni  0.0000  0.0000  0.5000

Values from the calculation:
M_tot   0.00 μB per formula unit
E above lowest polymorph   250 meV per atom
Crystal system   monoclinic
ΔH_f (0 K)   1.2 eV per formula unit

***

14.
Compound: Mg5CdNi
Source: Alexandria
Functional: PBE
Structure: relaxed

Cell lengths 4.4260, 4.4260, 7.3564 Å; angles 90.00, 90.00, 90.00 degrees
Fractional coordinates of all 7 atoms:
Mg  0.0000  0.5000  0.8030
Mg  0.0000  0.5000  0.1970
Mg  0.5000  0.0000  0.8030
Mg  0.5000  0.0000  0.1970
Mg  0.5000  0.5000  0.5000
Cd  0.0000  0.0000  0.5000
Ni  0.5000  0.5000  0.0000

Values from the calculation:
M_tot   0.00 μB per formula unit
E above lowest polymorph   0 meV per atom
Crystal system   tetragonal
ΔH_f (0 K)   -0.5 eV per formula unit